A geometry-optimized K2LiN2 structure, computed with PBE-GGA.

Geometry as POSCAR:
```
K2LiN2
1.0
-2.530 2.530 4.694
2.530 -2.530 4.694
2.530 2.530 -4.694
K Li N
2 1 2
Direct
0.160 0.160 0.000 K
0.840 0.840 0.000 K
0.500 0.500 0.000 Li
0.250 0.750 0.500 N
0.750 0.250 0.500 N
```

Computed properties:
Uncorrected formation energy ... 1.22 eV per atom
Electronic total energy ... -2.931 eV/atom
ΔE to the lowest computed polymorph ... 0.49 eV per formula unit

***

A geometry-optimized K3LiN structure, computed with PBE-GGA.

Geometry as POSCAR:
```
K3LiN
1.0
5.712 0.000 0.000
0.000 5.712 0.000
0.000 0.000 5.712
K Li N
3 1 1
Direct
0.000 0.000 0.500 K
0.000 0.500 0.000 K
0.500 0.000 0.000 K
0.500 0.500 0.500 Li
0.000 0.000 0.000 N
```

Computed properties:
Uncorrected formation energy ... 0.49 eV per atom
Electronic total energy ... -2.219 eV/atom
ΔE to the lowest computed polymorph ... 0.00 eV per formula unit

***

A geometry-optimized KLi2N structure, computed with PBE-GGA.

Geometry as POSCAR:
```
KLi2N
1.0
-2.808 2.808 4.931
2.808 -2.808 4.931
2.808 2.808 -4.931
K Li N
2 4 2
Direct
0.375 0.625 0.750 K
0.625 0.375 0.250 K
0.000 0.000 0.000 Li
0.000 0.000 0.500 Li
0.000 0.500 0.000 Li
0.500 0.000 0.500 Li
0.125 0.875 0.250 N
0.875 0.125 0.750 N
```

Computed properties:
Uncorrected formation energy ... -0.08 eV per atom
Electronic total energy ... -3.391 eV/atom